PBE-GGA LiCo2Cu2, relaxed; N(E_F) = 3.7 states/eV/cell; calculated volume = 68 Å³ per cell; formation energy = 454.0 meV/atom; crystal system = tetragonal; energy above the lowest structure with this stoichiometry = 259 meV per atom
1.0
-1.762 1.762 5.476
1.762 -1.762 5.476
1.762 1.762 -5.476
Li Co Cu
1 2 2
Cartesian
0.000 0.000 0.000 Li
0.000 0.000 4.410 Co
0.000 0.000 6.542 Co
1.762 0.000 2.738 Cu
0.000 1.762 2.738 Cu

PBE-GGA PmEuSb2, relaxed; N(E_F) = 3.1 states/eV/cell; calculated volume = 120 Å³ per cell; crystal system = cubic; uncorrected formation energy = -857 meV per atom; energy above the lowest structure with this stoichiometry = 170 meV per atom
1.0
0.000 3.912 3.912
3.912 0.000 3.912
3.912 3.912 0.000
Pm Eu Sb
1 1 2
Cartesian
0.000 0.000 0.000 Pm
3.912 3.912 3.912 Eu
1.956 1.956 1.956 Sb
5.868 5.868 5.868 Sb

PBE-GGA TlCd2CuO4, relaxed; N(E_F) = 5.5 states/eV/cell; calculated volume = 219 Å³ per cell; crystal system = monoclinic; uncorrected formation energy = -687 meV per atom
1.0
4.668 -4.563 0.000
4.668 4.563 0.000
-4.595 0.000 5.150
Tl Cd Cu O
2 4 2 8
Cartesian
0.000 0.000 0.000 Tl
-2.298 0.000 2.575 Tl
2.334 2.282 0.000 Cd
0.036 -2.282 2.575 Cd
4.668 0.000 0.000 Cd
2.371 0.000 2.575 Cd
0.036 2.282 2.575 Cu
2.334 -2.282 0.000 Cu
2.117 2.277 2.232 O
0.047 0.195 2.523 O
-2.251 -0.195 5.098 O
4.922 2.277 0.343 O
-0.181 -2.277 4.807 O
6.992 0.195 0.051 O
4.694 -0.195 2.626 O
2.624 -2.277 2.918 O

PBE-GGA Pa2Co5As4, relaxed; N(E_F) = 11.8 states/eV/cell; calculated volume = 173 Å³ per cell; formation energy = -410.8 meV/atom; crystal system = orthorhombic
1.0
0.000 4.638 6.939
2.681 0.000 6.939
2.681 4.638 0.000
Pa Co As
2 5 4
Cartesian
2.681 4.638 1.922 Pa
2.681 4.638 11.956 Pa
1.341 2.319 0.000 Co
1.341 2.319 3.469 Co
1.341 2.319 6.939 Co
2.681 4.638 6.939 Co
4.022 6.958 10.408 Co
2.681 3.193 5.135 As
2.681 3.193 8.743 As
2.681 6.084 5.135 As
2.681 6.084 8.743 As